## Zr3PdS (PBE)

Data for a geometry-optimized Zr3PdS structure.

Structure (POSCAR):
```
Zr3PdS
1.0
1.809 -5.781 0.000
1.809 5.781 0.000
0.000 0.000 9.531
Zr Pd S
6 2 2
Cartesian
1.809 5.014 7.148
1.809 1.675 5.386
1.809 1.675 8.911
1.809 -1.675 0.621
1.809 -1.675 4.145
1.809 -5.014 2.383
1.809 2.884 2.383
1.809 -2.884 7.148
0.000 0.000 0.000
0.000 0.000 4.766
```

E_tot = -7.910 eV per atom
crystal system = orthorhombic
spin magnetization = 0.01 μB per formula unit


## YMgNbOs (PBE)

Data for a geometry-optimized YMgNbOs structure.

Structure (POSCAR):
```
YMgNbOs
1.0
0.000 3.377 3.377
3.377 0.000 3.377
3.377 3.377 0.000
Y Mg Nb Os
1 1 1 1
Cartesian
0.000 0.000 0.000
5.065 5.065 5.065
3.377 3.377 3.377
1.688 1.688 1.688
```

crystal system = cubic
spin magnetization = 0.01 μB per formula unit
ΔE to the lowest computed polymorph = 0.00 kcal/mol of atoms